Hf3SiPb, optimized geometry, DFT PBE; crystal system = cubic; space-group type = Pm-3m; uncorrected formation energy = 0.84 eV/f.u.
1.0
4.9202 0.0000 0.0000
0.0000 4.9202 0.0000
0.0000 0.0000 4.9202
Hf Si Pb
3 1 1
Cartesian
0.0000 0.0000 2.4601 Hf
0.0000 2.4601 0.0000 Hf
2.4601 0.0000 0.0000 Hf
0.0000 0.0000 0.0000 Si
2.4601 2.4601 2.4601 Pb

Ca2CuHRh, optimized geometry, DFT PBE; crystal system = tetragonal; space-group type = P4/mmm
1.0
5.4040 0.0000 0.0000
0.0000 5.4040 0.0000
0.0000 0.0000 3.2985
Ca Cu H Rh
2 1 1 1
Cartesian
0.0000 2.7020 0.0000 Ca
2.7020 0.0000 0.0000 Ca
0.0000 0.0000 0.0000 Cu
0.0000 0.0000 1.6493 H
2.7020 2.7020 1.6493 Rh

MgSiSe2, optimized geometry, DFT PBE; crystal system = trigonal; space-group type = R-3m; uncorrected formation energy = -0.78 eV/f.u.
1.0
1.7778 1.0264 8.5372
-1.7778 1.0264 8.5372
0.0000 -2.0528 8.5372
Mg Si Se
1 1 2
Cartesian
0.0000 0.0000 0.0000 Mg
0.0000 0.0000 12.8059 Si
0.0000 0.0000 2.8360 Se
0.0000 0.0000 22.7757 Se

Sm3Ho7Tm, optimized geometry, DFT PBE; crystal system = trigonal; space-group type = P3m1
1.0
7.0285 0.0000 0.0000
-3.5143 6.0869 0.0000
0.0000 0.0000 8.6075
Sm Ho Tm
3 7 1
Cartesian
-1.7566 3.0438 0.0000 Sm
0.0000 6.0862 0.0000 Sm
1.7566 3.0438 0.0000 Sm
0.0000 2.0407 2.9035 Ho
-1.7470 5.0665 2.9035 Ho
1.7669 1.0201 5.7106 Ho
1.7470 5.0665 2.9035 Ho
3.5143 2.0290 2.9122 Ho
5.2616 1.0201 5.7106 Ho
3.5143 4.0466 5.7106 Ho
0.0000 4.0579 5.6972 Tm

| no. | VASP energy (eV per atom) |
| --- | --- |
| 1 | -7.63 |
| 2 | -3.62 |
| 3 | -3.69 |
| 4 | -4.43 |